# Gd2ErPb (PBE, optimized geometry)
# - DOS(E_F): 5.33 states/eV/cell
# - Formation enthalpy at 0 K: -1.24 eV/f.u.
# - Magnetization: 15.65 μB/cell
# - Energy: -9.42 eV/atom
# - E above lowest polymorph: 0 meV per atom
data_Gd2ErPb
_chemical_formula_sum 'Gd2 Er1 Pb1'
_symmetry_space_group_name_H-M 'P 4/m m m'
_symmetry_Int_Tables_number 123
_symmetry_space_group_name_Hall '-P 4 2'
_cell_length_a 4.865
_cell_length_b 4.865
_cell_length_c 4.917
_cell_angle_alpha 90.00
_cell_angle_beta 90.00
_cell_angle_gamma 90.00
loop_
_atom_site_label
_atom_site_fract_x
_atom_site_fract_y
_atom_site_fract_z
_atom_site_occupancy
Gd1 0.000 0.500 0.000 1
Er1 0.000 0.000 0.500 1
Pb1 0.500 0.500 0.500 1

# Li6InGe (PBE, optimized geometry)
# - DOS(E_F): 6.18 states/eV/cell
# - Formation enthalpy at 0 K: -1.79 eV/f.u.
# - Magnetization: 0.00 μB/cell
# - Energy: -2.58 eV/atom
data_Li6InGe
_chemical_formula_sum 'Li12 In2 Ge2'
_symmetry_space_group_name_H-M 'A m m 2'
_symmetry_Int_Tables_number 38
_symmetry_space_group_name_Hall 'A 2 -2'
_cell_length_a 4.652
_cell_length_b 5.956
_cell_length_c 9.986
_cell_angle_alpha 90.00
_cell_angle_beta 90.00
_cell_angle_gamma 90.00
loop_
_atom_site_label
_atom_site_fract_x
_atom_site_fract_y
_atom_site_fract_z
_atom_site_occupancy
Li1 0.000 0.000 0.000 1
Li2 0.000 0.228 0.767 1
Li3 0.500 0.000 0.337 1
Li4 0.500 0.246 0.585 1
In1 0.000 0.000 0.508 1
Ge1 0.500 0.000 0.839 1

# KSi7 (PBE, optimized geometry)
# - Energy relative to the elements, uncorrected: 17.48 kcal/mol of atoms
# - DOS(E_F): 12.91 states/eV/cell
# - Magnetization: 0.00 μB/cell
# - Energy: -4.12 eV/atom
data_KSi7
_chemical_formula_sum 'K4 Si28'
_symmetry_space_group_name_H-M 'F m -3 m'
_symmetry_Int_Tables_number 225
_symmetry_space_group_name_Hall '-F 4 2 3'
_cell_length_a 8.186
_cell_length_b 8.186
_cell_length_c 8.186
_cell_angle_alpha 90.00
_cell_angle_beta 90.00
_cell_angle_gamma 90.00
loop_
_atom_site_label
_atom_site_fract_x
_atom_site_fract_y
_atom_site_fract_z
_atom_site_occupancy
K1 0.000 0.000 0.000 1
Si1 0.000 0.000 0.500 1
Si2 0.000 0.250 0.250 1

Copy entry 1 word for word.
# Gd2ErPb (PBE, optimized geometry)
# - DOS(E_F): 5.33 states/eV/cell
# - Formation enthalpy at 0 K: -1.24 eV/f.u.
# - Magnetization: 15.65 μB/cell
# - Energy: -9.42 eV/atom
# - E above lowest polymorph: 0 meV per atom
data_Gd2ErPb
_chemical_formula_sum 'Gd2 Er1 Pb1'
_symmetry_space_group_name_H-M 'P 4/m m m'
_symmetry_Int_Tables_number 123
_symmetry_space_group_name_Hall '-P 4 2'
_cell_length_a 4.865
_cell_length_b 4.865
_cell_length_c 4.917
_cell_angle_alpha 90.00
_cell_angle_beta 90.00
_cell_angle_gamma 90.00
loop_
_atom_site_label
_atom_site_fract_x
_atom_site_fract_y
_atom_site_fract_z
_atom_site_occupancy
Gd1 0.000 0.500 0.000 1
Er1 0.000 0.000 0.500 1
Pb1 0.500 0.500 0.500 1

magnetization of number 2 (Li6InGe)? 0.00 μB/cell

magnetization of number 1 (Gd2ErPb)? 15.65 μB/cell